The following is a GGA-PBE calculation of a relaxed LiAcTc2O8 crystal, from Alexandria via LeMat-Bulk.

POSCAR file:
```
LiAcTc2O8
1.0
5.4229 0.0000 0.0000
0.0000 5.4229 0.0000
-2.7114 -2.7114 5.9422
O Tc Ac Li
8 2 1 1
direct
0.0234 0.4314 0.3409 O
0.5686 0.6825 0.6591 O
0.6701 0.2853 0.8426 O
0.1725 0.5573 0.8426 O
0.0905 0.9766 0.6591 O
0.3175 0.9095 0.3409 O
0.4427 0.3299 0.1574 O
0.7147 0.8275 0.1574 O
0.2500 0.7500 0.5000 Tc
0.5000 0.5000 0.0000 Tc
0.0000 0.0000 0.0000 Ac
0.7500 0.2500 0.5000 Li
```

Calculated values
- E_form (uncorrected) (eV per atom) = -1.897
- mass density (g/cm³) = 5.302
- DFT total energy (eV per atom) = -7.432